Record 1
DFT (PBE-GGA) results for a relaxed Rb2MgSiB crystal.

Unit cell a=6.808 b=3.715 c=6.808 alpha=90.00 beta=90.00 gamma=90.00
Fractional positions:
Rb (0.500, 0.000, 0.000)
B (0.000, 0.000, 0.000)
Rb (0.000, 0.000, 0.500)
Mg (0.500, 0.500, 0.500)
Si (0.000, 0.500, 0.000)

Record 2
DFT (PBE-GGA) results for a relaxed RbMgTcB2 crystal.

Calculated values
energy relative to the elements	3.179	eV/atom

Unit cell a=4.827 b=5.052 c=4.827 alpha=90.00 beta=90.00 gamma=90.00
Fractional positions:
Rb (0.000, 0.000, 0.000)
Tc (0.000, 0.500, 0.000)
B (0.500, 0.000, 0.000)
B (0.000, 0.000, 0.500)
Mg (0.500, 0.500, 0.500)

How do the records compare in E? In the order shown, they have -2.66; -2.08 eV/atom.
How do the records compare in DOS at the Fermi energy? In the order shown, they have 0.634; 1.051 states/eV per atom.